No. 1
The following is a GGA-PBE calculation of crystalline Ti2RhC at its relaxed geometry, from Alexandria.

Cell: 5.9799 5.9799 6.4821 Å, 90.00 90.00 90.00°
Closest atoms and distances in Å follow each position.
Space group I-42d (No. 122)
One atom of each set of equivalent atoms:
1 Ti 0.1858 0.2500 0.1250 [8 per cell]  2 C 2.03
2 Rh 0.0000 0.0000 0.5000 [4 per cell]  4 Ti 2.53
3 C 0.0000 0.0000 0.0000 [4 per cell]  4 Ti 2.03

Values from the calculation:
The raw total energy comes out at -32.89 eV/f.u.

No. 2
The following is a GGA-PBE calculation of crystalline TiRhC2 at its relaxed geometry, from Alexandria.

Cell: 5.3948 5.3948 5.3948 Å, 90.00 90.00 90.00°
Closest atoms and distances in Å follow each position.
Space group Fm-3m (No. 225)
One atom of each set of equivalent atoms:
1 Ti 0.0000 0.0000 0.0000 [4 per cell]  8 C 2.34
2 Rh 0.0000 0.0000 0.5000 [4 per cell]  8 C 2.34
3 C 0.2500 0.2500 0.2500 [8 per cell]  4 Rh 2.34, 4 Ti 2.34

Values from the calculation:
The offset from the most stable computed form is 371 meV/atom.

No. 3
The following is a GGA-PBE calculation of crystalline TiRhC2 at its relaxed geometry, from Alexandria.

Cell: 4.5589 4.5589 9.7495 Å, 90.00 90.00 90.00°
Closest atoms and distances in Å follow each position.
Space group I-42d (No. 122)
One atom of each set of equivalent atoms:
1 Ti 0.0000 0.0000 0.0000 [4 per cell]  4 C 2.07
2 Rh 0.0000 0.0000 0.5000 [4 per cell]  4 C 1.97
3 C 0.2309 0.2500 0.6250 [8 per cell]  2 Rh 1.97, 2 Ti 2.07

Values from the calculation:
The offset from the most stable computed form is 0 meV/atom.

No. 4
The following is a GGA-PBE calculation of crystalline TiTl2RhC at its relaxed geometry, from Alexandria.

Cell: 5.0128 5.0128 3.8479 Å, 90.00 90.00 90.00°
Closest atoms and distances in Å follow each position.
Space group P4/mmm (No. 123)
One atom of each set of equivalent atoms:
1 Ti 0.0000 0.0000 0.0000 [1 per cell]  8 Tl 3.16
2 Tl 0.0000 0.5000 0.5000 [2 per cell]  2 C 2.51
3 Rh 0.5000 0.5000 0.0000 [1 per cell]  2 C 1.92
4 C 0.5000 0.5000 0.5000 [1 per cell]  2 Rh 1.92

Values from the calculation:
The raw total energy comes out at -25.16 eV/f.u.

No. 5
The following is a GGA-PBE calculation of crystalline TiV2RhC at its relaxed geometry, from Alexandria.

Cell: 3.9567 3.9567 4.1606 Å, 90.00 90.00 90.00°
Closest atoms and distances in Å follow each position.
Space group P4/mmm (No. 123)
One atom of each set of equivalent atoms:
1 Ti 0.0000 0.0000 0.0000 [1 per cell]  2 C 2.08
2 V 0.0000 0.5000 0.5000 [2 per cell]  2 C 1.98
3 Rh 0.5000 0.5000 0.0000 [1 per cell]  4 Ti 2.80, 8 V 2.87
4 C 0.0000 0.0000 0.5000 [1 per cell]  4 V 1.98, 2 Ti 2.08

Values from the calculation:
The raw total energy comes out at -44.53 eV/f.u.

No. 6
The following is a GGA-PBE calculation of crystalline Ti2VRhC at its relaxed geometry, from Alexandria.

Cell: 4.1889 4.1889 3.8936 Å, 90.00 90.00 90.00°
Closest atoms and distances in Å follow each position.
Space group P4/mmm (No. 123)
One atom of each set of equivalent atoms:
1 Ti 0.0000 0.5000 0.0000 [2 per cell]  2 C 2.09
2 V 0.0000 0.0000 0.5000 [1 per cell]  2 C 1.95
3 Rh 0.5000 0.5000 0.5000 [1 per cell]  8 Ti 2.86, 4 V 2.96
4 C 0.0000 0.0000 0.0000 [1 per cell]  2 V 1.95, 4 Ti 2.09

Values from the calculation:
The raw total energy comes out at -43.78 eV/f.u.

No. 7
The following is a GGA-PBE calculation of crystalline ZrTi2RhC at its relaxed geometry, from Alexandria.

Cell: 4.8957 4.8957 4.6364 Å, 90.00 90.00 90.00°
Closest atoms and distances in Å follow each position.
Space group P4/mmm (No. 123)
One atom of each set of equivalent atoms:
1 Zr 0.0000 0.0000 0.0000 [1 per cell]  2 Rh 2.32, 4 Ti 2.45
2 Ti 0.0000 0.5000 0.0000 [2 per cell]  2 Zr 2.45
3 Rh 0.0000 0.0000 0.5000 [1 per cell]  2 Zr 2.32
4 C 0.5000 0.5000 0.5000 [1 per cell]  8 Ti 3.37, 4 Rh 3.46

Values from the calculation:
The offset from the most stable computed form is 2824 meV/atom.

No. 8
The following is a GGA-PBE calculation of crystalline ZrTi2RhC at its relaxed geometry, from Alexandria.

Cell: 4.1349 4.1349 4.5487 Å, 90.00 90.00 90.00°
Closest atoms and distances in Å follow each position.
Space group P4/mmm (No. 123)
One atom of each set of equivalent atoms:
1 Zr 0.0000 0.0000 0.0000 [1 per cell]  2 C 2.27
2 Ti 0.0000 0.5000 0.5000 [2 per cell]  2 C 2.07
3 Rh 0.5000 0.5000 0.0000 [1 per cell]  4 Zr 2.92, 8 Ti 3.07
4 C 0.0000 0.0000 0.5000 [1 per cell]  4 Ti 2.07, 2 Zr 2.27

Values from the calculation:
The offset from the most stable computed form is 0 meV/atom.

The DOS at the Fermi energy results, record by record, are as follows: 12.05 19.80 5.55 5.37 5.71 6.29 4.68 6.92 states/eV per cell.
The spin magnetization results, record by record, are as follows: 0.000 0.000 0.000 0.000 1.027 1.069 0.000 0.000 μB per cell.